1.
A geometry-optimized ScH8Pt2 structure, computed with PBE.

```
11
Lattice="3.524 0.425 0.953 1.424 5.190 2.389 1.047 0.800 5.739" Properties=species:S:1:pos:R:3 pbc="T T T"
H 3.177 4.667 6.474
H 2.819 1.748 2.607
H 2.846 5.089 4.182
H 3.381 4.021 2.842
Pt 4.830 4.895 6.958
H 1.536 3.443 4.685
H 2.615 2.394 6.239
Pt 1.165 1.520 2.123
H 3.150 1.326 4.899
Sc 0.000 0.000 0.000
H 4.460 2.971 4.396
```

Results
As for the total energy: -4.143 eV per atom.

***

2.
A geometry-optimized Sc2HPtSe structure, computed with PBE.

```
5
Lattice="5.021 0.000 0.000 0.000 4.689 0.000 0.000 0.000 5.021" Properties=species:S:1:pos:R:3 pbc="T T T"
Sc 2.510 0.000 0.000
H 2.510 2.344 2.510
Sc 0.000 0.000 2.510
Pt 0.000 2.344 0.000
Se 0.000 0.000 0.000
```

Results
As for the total energy: -4.853 eV per atom.

***

3.
A geometry-optimized Sc2SnHPt structure, computed with PBE.

```
5
Lattice="-2.430 0.635 3.723 3.294 -1.807 2.459 1.650 3.630 0.458" Properties=species:S:1:pos:R:3 pbc="T T T"
Sn 1.257 1.229 3.320
Sc 1.647 -0.904 1.230
H 0.000 0.000 0.000
Sc -1.215 0.317 1.861
Pt 0.825 1.815 0.229
```

Results
As for the total energy: -5.932 eV per atom.

***

4.
A geometry-optimized Sc2VHPt structure, computed with PBE.

```
5
Lattice="4.568 0.000 0.000 0.000 4.568 0.000 0.000 0.000 3.538" Properties=species:S:1:pos:R:3 pbc="T T T"
Sc 0.000 2.284 0.000
V 0.000 0.000 1.769
Pt 2.284 2.284 1.769
Sc 2.284 0.000 0.000
H 0.000 0.000 0.000
```

Results
As for the total energy: -6.794 eV per atom.

***

5.
A geometry-optimized YSc2HPt structure, computed with PBE.

```
5
Lattice="4.248 0.000 0.000 0.000 4.248 0.000 0.000 0.000 4.944" Properties=species:S:1:pos:R:3 pbc="T T T"
Y 0.000 0.000 2.472
Pt 2.124 2.124 2.472
H 0.000 0.000 0.000
Sc 0.000 2.124 0.000
Sc 2.124 0.000 0.000
```

Results
As for the total energy: -6.245 eV per atom.

***

6.
A geometry-optimized Sc2ZnHPt structure, computed with PBE.

```
5
Lattice="-3.995 -1.490 -1.370 -0.293 -2.574 3.654 -1.649 2.758 1.810" Properties=species:S:1:pos:R:3 pbc="T T T"
Sc -0.147 -1.287 1.827
Sc -1.998 -0.745 -0.685
Zn -0.825 1.379 0.905
H 0.000 0.000 0.000
Pt -2.969 -0.653 2.047
```

Results
As for the total energy: -5.318 eV per atom. As for the relative energy among the computed polymorphs: 1.7 kJ/mol of atoms.

***

7.
A geometry-optimized ScZnHPt2 structure, computed with PBE.

```
5
Lattice="4.034 0.000 0.000 0.000 4.034 0.000 0.000 0.000 4.158" Properties=species:S:1:pos:R:3 pbc="T T T"
Zn 2.017 2.017 2.079
Pt 2.017 0.000 0.000
Sc 0.000 0.000 2.079
H 0.000 0.000 0.000
Pt 0.000 2.017 0.000
```

Results
As for the total energy: -5.165 eV per atom.

***

8.
A geometry-optimized Sc2ZnHPt structure, computed with PBE.

```
5
Lattice="4.609 0.000 0.000 0.000 4.609 0.000 0.000 0.000 3.605" Properties=species:S:1:pos:R:3 pbc="T T T"
Pt 0.000 0.000 1.803
Zn 2.305 2.305 1.803
Sc 0.000 2.305 0.000
H 0.000 0.000 0.000
Sc 2.305 0.000 0.000
```

Results
As for the total energy: -5.336 eV per atom. As for the relative energy among the computed polymorphs: 0.0 kJ/mol of atoms.

***

- Which formula does entry 4 have?
  Sc2VHPt